1.
## PaBeAu (PBE)

Data for PaBeAu after structural relaxation. Values from VASP.

Properties
Total magnetization, μB per atom: 0.002
Distance to the lowest polymorph of the same formula, eV per atom: 0.1521

Geometry as Quantum ESPRESSO input:
```
&SYSTEM
  ibrav = 0, nat = 3, ntyp = 3
/
ATOMIC_SPECIES
Pa 231.04 Pa.upf
Be 9.01 Be.upf
Au 196.97 Au.upf
ATOMIC_POSITIONS crystal
Pa 0.000 0.000 0.000
Be 0.500 0.500 0.500
Au 0.750 0.750 0.750
CELL_PARAMETERS angstrom
0.000 3.236 3.236
3.236 0.000 3.236
3.236 3.236 0.000
```

***

2.
## PaBeAu (PBE)

Data for PaBeAu after structural relaxation. Values from VASP.

Properties
Total magnetization, μB per atom: 0.001
Distance to the lowest polymorph of the same formula, eV per atom: 0.0000

Geometry as Quantum ESPRESSO input:
```
&SYSTEM
  ibrav = 0, nat = 3, ntyp = 3
/
ATOMIC_SPECIES
Pa 231.04 Pa.upf
Be 9.01 Be.upf
Au 196.97 Au.upf
ATOMIC_POSITIONS crystal
Pa 0.000 0.000 0.000
Be 0.750 0.750 0.750
Au 0.500 0.500 0.500
CELL_PARAMETERS angstrom
0.000 3.098 3.098
3.098 0.000 3.098
3.098 3.098 0.000
```

***

3.
## BePb2Au (PBE)

Data for BePb2Au after structural relaxation. Values from VASP.

Properties
Raw total energy, eV/atom: -3.065

Geometry as Quantum ESPRESSO input:
```
&SYSTEM
  ibrav = 0, nat = 4, ntyp = 3
/
ATOMIC_SPECIES
Be 9.01 Be.upf
Pb 207.20 Pb.upf
Au 196.97 Au.upf
ATOMIC_POSITIONS crystal
Be 0.000 0.000 0.000
Pb 0.500 0.500 0.500
Pb 0.750 0.750 0.750
Au 0.250 0.250 0.250
CELL_PARAMETERS angstrom
0.000 3.588 3.588
3.588 0.000 3.588
3.588 3.588 0.000
```

***

4.
## Be2PbAu (PBE)

Data for Be2PbAu after structural relaxation. Values from VASP.

Properties
Raw total energy, eV/atom: -2.861

Geometry as Quantum ESPRESSO input:
```
&SYSTEM
  ibrav = 0, nat = 4, ntyp = 3
/
ATOMIC_SPECIES
Be 9.01 Be.upf
Pb 207.20 Pb.upf
Au 196.97 Au.upf
ATOMIC_POSITIONS crystal
Be 0.000 0.000 0.000
Be 0.250 0.250 0.250
Pb 0.500 0.500 0.500
Au 0.750 0.750 0.750
CELL_PARAMETERS angstrom
0.000 3.294 3.294
3.294 0.000 3.294
3.294 3.294 0.000
```

***

5.
## BePbAu (PBE)

Data for BePbAu after structural relaxation. Values from VASP.

Properties
Distance to the lowest polymorph of the same formula, eV per atom: 0.0000

Geometry as Quantum ESPRESSO input:
```
&SYSTEM
  ibrav = 0, nat = 3, ntyp = 3
/
ATOMIC_SPECIES
Be 9.01 Be.upf
Pb 207.20 Pb.upf
Au 196.97 Au.upf
ATOMIC_POSITIONS crystal
Be 0.000 0.000 0.000
Pb 0.500 0.500 0.500
Au 0.250 0.250 0.250
CELL_PARAMETERS angstrom
0.000 3.185 3.185
3.185 0.000 3.185
3.185 3.185 0.000
```

***

6.
## BePdAu2 (PBE)

Data for BePdAu2 after structural relaxation. Values from VASP.

Properties
Raw total energy, eV/atom: -3.888

Geometry as Quantum ESPRESSO input:
```
&SYSTEM
  ibrav = 0, nat = 4, ntyp = 3
/
ATOMIC_SPECIES
Be 9.01 Be.upf
Pd 106.42 Pd.upf
Au 196.97 Au.upf
ATOMIC_POSITIONS crystal
Be 0.000 0.000 0.000
Pd 0.250 0.250 0.250
Au 0.500 0.500 0.500
Au 0.750 0.750 0.750
CELL_PARAMETERS angstrom
0.000 3.135 3.135
3.135 0.000 3.135
3.135 3.135 0.000
```

***

7.
## Be2PdAu3 (PBE)

Data for Be2PdAu3 after structural relaxation. Values from VASP.

Properties
Raw total energy, eV/atom: -3.995

Geometry as Quantum ESPRESSO input:
```
&SYSTEM
  ibrav = 0, nat = 6, ntyp = 3
/
ATOMIC_SPECIES
Be 9.01 Be.upf
Pd 106.42 Pd.upf
Au 196.97 Au.upf
ATOMIC_POSITIONS crystal
Be 0.000 0.000 0.000
Be 0.500 0.500 0.479
Pd 0.000 0.000 0.354
Au 0.000 0.000 0.633
Au 0.500 0.500 0.144
Au 0.500 0.500 0.855
CELL_PARAMETERS angstrom
2.906 0.000 0.000
0.000 2.906 0.000
0.000 0.000 10.000
```

***

8.
## TaBePdAu (PBE)

Data for TaBePdAu after structural relaxation. Values from VASP.

Properties
Total magnetization, μB per atom: 0.000
Distance to the lowest polymorph of the same formula, eV per atom: 0.0536

Geometry as Quantum ESPRESSO input:
```
&SYSTEM
  ibrav = 0, nat = 4, ntyp = 4
/
ATOMIC_SPECIES
Ta 180.95 Ta.upf
Be 9.01 Be.upf
Pd 106.42 Pd.upf
Au 196.97 Au.upf
ATOMIC_POSITIONS crystal
Ta 0.000 0.000 0.000
Be 0.250 0.250 0.250
Pd 0.500 0.500 0.500
Au 0.750 0.750 0.750
CELL_PARAMETERS angstrom
0.000 3.115 3.115
3.115 0.000 3.115
3.115 3.115 0.000
```

***

9.
## TaBePdAu (PBE)

Data for TaBePdAu after structural relaxation. Values from VASP.

Properties
Total magnetization, μB per atom: 0.000
Distance to the lowest polymorph of the same formula, eV per atom: 0.0000

Geometry as Quantum ESPRESSO input:
```
&SYSTEM
  ibrav = 0, nat = 4, ntyp = 4
/
ATOMIC_SPECIES
Ta 180.95 Ta.upf
Be 9.01 Be.upf
Pd 106.42 Pd.upf
Au 196.97 Au.upf
ATOMIC_POSITIONS crystal
Ta 0.000 0.000 0.000
Be 0.500 0.500 0.500
Pd 0.750 0.750 0.750
Au 0.250 0.250 0.250
CELL_PARAMETERS angstrom
0.000 3.138 3.138
3.138 0.000 3.138
3.138 3.138 0.000
```

***

10.
## TaBePdAu (PBE)

Data for TaBePdAu after structural relaxation. Values from VASP.

Properties
Total magnetization, μB per atom: 0.000
Distance to the lowest polymorph of the same formula, eV per atom: 0.0255

Geometry as Quantum ESPRESSO input:
```
&SYSTEM
  ibrav = 0, nat = 4, ntyp = 4
/
ATOMIC_SPECIES
Ta 180.95 Ta.upf
Be 9.01 Be.upf
Pd 106.42 Pd.upf
Au 196.97 Au.upf
ATOMIC_POSITIONS crystal
Ta 0.000 0.000 0.000
Be 0.250 0.250 0.250
Pd 0.750 0.750 0.750
Au 0.500 0.500 0.500
CELL_PARAMETERS angstrom
0.000 3.105 3.105
3.105 0.000 3.105
3.105 3.105 0.000
```

***

11.
## PmBeAu (PBE)

Data for PmBeAu after structural relaxation. Values from VASP.

Properties
Total magnetization, μB per atom: 0.003
Raw total energy, eV/atom: -3.581

Geometry as Quantum ESPRESSO input:
```
&SYSTEM
  ibrav = 0, nat = 3, ntyp = 3
/
ATOMIC_SPECIES
Pm 145.00 Pm.upf
Be 9.01 Be.upf
Au 196.97 Au.upf
ATOMIC_POSITIONS crystal
Pm 0.000 0.000 0.000
Be 0.250 0.250 0.250
Au 0.750 0.750 0.750
CELL_PARAMETERS angstrom
0.000 3.372 3.372
3.372 0.000 3.372
3.372 3.372 0.000
```

***

12.
## Pm2BeAu4 (PBE)

Data for Pm2BeAu4 after structural relaxation. Values from VASP.

Properties
Total magnetization, μB per atom: 0.001
Raw total energy, eV/atom: -3.963

Geometry as Quantum ESPRESSO input:
```
&SYSTEM
  ibrav = 0, nat = 7, ntyp = 3
/
ATOMIC_SPECIES
Pm 145.00 Pm.upf
Be 9.01 Be.upf
Au 196.97 Au.upf
ATOMIC_POSITIONS crystal
Pm 0.000 0.500 0.000
Pm 0.500 0.000 0.000
Be 0.000 0.000 0.500
Au 0.163 0.163 0.002
Au 0.199 0.801 0.500
Au 0.801 0.199 0.500
Au 0.837 0.837 0.998
CELL_PARAMETERS angstrom
4.446 -5.828 0.000
4.446 5.828 0.000
-0.012 0.000 3.856
```